Density functional theory data (GGA-PBE) for a relaxed Ba2Ga2HgH6 crystal.

For the total DFT energy (no corrections), the calculation gives -2.96 eV/atom.

The structure belongs to space group C2/m (No. 12); the cell edges are 11.914, 4.894 and 8.189 Å and the angles 90.00°, 126.20° and 90.00°. Symmetry generates all atoms from Ba at (0.238, 0.000, 0.244), Ga at (0.017, 0.500, 0.863), Hg at (0.000, 0.000, 0.500), H at (0.107, 0.244, 0.867) and H at (0.146, 0.500, 0.348).